Rb2NaTa: relaxed, PBE.

Calculated values
Space-group type   Fm-3m (225)
Energy relative to the elements   140 kJ/mol of atoms
Relative energy among the computed polymorphs   0.00 kJ per mole of atoms

abc: 6.407 6.407 6.407
angles: 60.00 60.00 60.00
Fractional coordinates of all 4 atoms:
1 Rb 0.250 0.250 0.250
2 Rb 0.750 0.750 0.750
3 Na 0.000 0.000 0.000
4 Ta 0.500 0.500 0.500

---

TiV4Ge2: relaxed, PBE.

Calculated values
Space-group type   P2_1/m (11)
Energy relative to the elements   -17 kJ/mol of atoms
Relative energy among the computed polymorphs   0.00 kJ per mole of atoms

abc: 6.721 4.986 6.748
angles: 90.00 116.56 90.00
Fractional coordinates of all 14 atoms:
1 Ti 0.189 0.250 0.271
2 Ti 0.811 0.750 0.729
3 V 0.014 0.250 0.539
4 V 0.282 0.505 0.929
5 V 0.282 0.995 0.929
6 V 0.377 0.750 0.598
7 V 0.623 0.250 0.402
8 V 0.718 0.005 0.071
9 V 0.718 0.495 0.071
10 V 0.986 0.750 0.461
11 Ge 0.095 0.750 0.155
12 Ge 0.452 0.250 0.701
13 Ge 0.548 0.750 0.299
14 Ge 0.905 0.250 0.845

---

KYP2S8: relaxed, PBE.

Calculated values
ΔE_f (raw)   -0.59 eV/atom
Space-group type   R-3 (148)

abc: 9.856 9.856 9.856
angles: 36.65 36.65 36.65
Fractional coordinates of all 12 atoms:
1 K 0.000 0.000 0.000
2 Y 0.500 0.500 0.500
3 P 0.245 0.245 0.245
4 P 0.755 0.755 0.755
5 S 0.074 0.813 0.441
6 S 0.187 0.559 0.926
7 S 0.319 0.319 0.319
8 S 0.441 0.074 0.813
9 S 0.559 0.926 0.187
10 S 0.681 0.681 0.681
11 S 0.813 0.441 0.074
12 S 0.926 0.187 0.559

---

Pm4Ge2SeBr: relaxed, PBE.

Calculated values
ΔE_f (raw)   -1.29 eV/atom
Space-group type   P2/m (10)

abc: 7.398 4.273 7.424
angles: 90.00 109.35 90.00
Fractional coordinates of all 8 atoms:
1 Pm 0.235 0.000 0.226
2 Pm 0.249 0.500 0.768
3 Pm 0.751 0.500 0.232
4 Pm 0.765 0.000 0.774
5 Ge 0.000 0.500 0.000
6 Ge 0.500 0.000 0.000
7 Se 0.000 0.000 0.500
8 Br 0.500 0.500 0.500

---

How do the records compare in E? In the order shown, they have -2.32; -7.83; -4.87; -5.47 eV/atom.